The following is a PBE calculation of BeCoPb2 after structural relaxation, from the Alexandria database. Values from VASP.

```
&SYSTEM
  ibrav = 0, nat = 4, ntyp = 3
/
ATOMIC_SPECIES
Be 9.01 Be.upf
Co 58.93 Co.upf
Pb 207.20 Pb.upf
CELL_PARAMETERS angstrom
3.106 0.000 0.000
0.000 3.106 0.000
0.000 0.000 8.423
ATOMIC_POSITIONS crystal
Be 0.000 0.000 0.000
Co 0.500 0.500 0.079
Pb 0.000 0.000 0.319
Pb 0.500 0.500 0.745
```

Formation enthalpy at 0 K ... 1.09 eV/f.u.

The following is a PBE calculation of Be2CoPb after structural relaxation, from the Alexandria database. Values from VASP.

```
&SYSTEM
  ibrav = 0, nat = 8, ntyp = 3
/
ATOMIC_SPECIES
Be 9.01 Be.upf
Co 58.93 Co.upf
Pb 207.20 Pb.upf
CELL_PARAMETERS angstrom
3.724 0.000 0.000
0.000 3.724 0.000
0.000 0.000 7.527
ATOMIC_POSITIONS crystal
Be 0.000 0.500 0.250
Be 0.000 0.500 0.750
Be 0.500 0.000 0.250
Be 0.500 0.000 0.750
Co 0.000 0.000 0.000
Co 0.500 0.500 0.500
Pb 0.000 0.000 0.500
Pb 0.500 0.500 0.000
```

Formation enthalpy at 0 K ... 1.96 eV/f.u.

The following is a PBE calculation of Be2CoPb after structural relaxation, from the Alexandria database. Values from VASP.

```
&SYSTEM
  ibrav = 0, nat = 8, ntyp = 3
/
ATOMIC_SPECIES
Be 9.01 Be.upf
Co 58.93 Co.upf
Pb 207.20 Pb.upf
CELL_PARAMETERS angstrom
4.321 0.000 0.000
0.000 4.345 0.000
0.000 0.000 5.882
ATOMIC_POSITIONS crystal
Be 0.000 0.000 0.000
Be 0.000 0.500 0.189
Be 0.500 0.000 0.189
Be 0.500 0.500 0.000
Co 0.000 0.500 0.844
Co 0.500 0.000 0.844
Pb 0.000 0.000 0.519
Pb 0.500 0.500 0.519
```

Formation enthalpy at 0 K ... 1.64 eV/f.u.

The following is a PBE calculation of BeCoPb after structural relaxation, from the Alexandria database. Values from VASP.

```
&SYSTEM
  ibrav = 0, nat = 3, ntyp = 3
/
ATOMIC_SPECIES
Be 9.01 Be.upf
Co 58.93 Co.upf
Pb 207.20 Pb.upf
CELL_PARAMETERS angstrom
3.818 0.000 0.000
-1.909 3.306 0.000
0.000 0.000 3.611
ATOMIC_POSITIONS crystal
Be 0.000 0.000 0.000
Co 0.333 0.667 0.000
Pb 0.667 0.333 0.500
```

Formation enthalpy at 0 K ... 1.26 eV/f.u.

The following is a PBE calculation of Be2CoPb after structural relaxation, from the Alexandria database. Values from VASP.

```
&SYSTEM
  ibrav = 0, nat = 16, ntyp = 3
/
ATOMIC_SPECIES
Be 9.01 Be.upf
Co 58.93 Co.upf
Pb 207.20 Pb.upf
CELL_PARAMETERS angstrom
4.084 0.000 0.000
0.000 4.084 0.000
0.000 0.000 15.014
ATOMIC_POSITIONS crystal
Be 0.000 0.000 0.000
Be 0.000 0.500 0.000
Be 0.250 0.250 0.750
Be 0.250 0.750 0.250
Be 0.500 0.000 0.500
Be 0.500 0.500 0.500
Be 0.750 0.250 0.750
Be 0.750 0.750 0.250
Co 0.000 0.250 0.875
Co 0.000 0.750 0.125
Co 0.500 0.250 0.625
Co 0.500 0.750 0.375
Pb 0.000 0.250 0.375
Pb 0.000 0.750 0.625
Pb 0.500 0.250 0.125
Pb 0.500 0.750 0.875
```

Formation enthalpy at 0 K ... 2.11 eV/f.u.

The following is a PBE calculation of BeCoPb3 after structural relaxation, from the Alexandria database. Values from VASP.

```
&SYSTEM
  ibrav = 0, nat = 5, ntyp = 3
/
ATOMIC_SPECIES
Be 9.01 Be.upf
Co 58.93 Co.upf
Pb 207.20 Pb.upf
CELL_PARAMETERS angstrom
5.048 0.000 0.000
0.000 5.048 0.000
0.000 0.000 5.048
ATOMIC_POSITIONS crystal
Be 0.000 0.000 0.000
Co 0.500 0.500 0.500
Pb 0.000 0.000 0.500
Pb 0.000 0.500 0.000
Pb 0.500 0.000 0.000
```

Formation enthalpy at 0 K ... 4.37 eV/f.u.